[1]
CsKNaSb | PBE | relaxed

The structure in extended XYZ format:
```
4
Lattice="-5.6885 -1.7449 -0.4042 -2.1336 -2.0353 -5.1839 -1.3075 -5.7855 -0.6209" Properties=species:S:1:pos:R:3 pbc="T T T"
Cs 0.0000 0.0000 0.0000
Sb -4.5648 -4.7829 -3.1045
Na -6.8472 -7.1743 -4.6567
K -2.2824 -2.3914 -1.5522
```

The uncorrected formation energy comes out at -0.3750 eV per atom. For the relative energy among the computed polymorphs, the calculation gives 16.7 meV/atom. Its size of the total moment is 0.0000 μB per atom.

***

[2]
CsKNa2Sb | PBE | relaxed

The structure in extended XYZ format:
```
5
Lattice="-5.9990 -0.6132 -1.1452 -0.9535 -1.5967 5.8495 -1.0760 7.1891 1.7869" Properties=species:S:1:pos:R:3 pbc="T T T"
Sb 0.0000 0.0000 0.0000
Na -0.4767 -0.7983 2.9248
Na -2.9995 -0.3066 -0.5726
Cs -0.5380 3.5946 0.8935
K -4.0142 2.4896 3.2456
```

The uncorrected formation energy comes out at -0.1401 eV per atom. For the relative energy among the computed polymorphs, the calculation gives 75.1 meV/atom. Its size of the total moment is 0.0039 μB per atom.

***

[3]
CsKNaSb | PBE | relaxed

The structure in extended XYZ format:
```
4
Lattice="-4.1582 -1.5625 3.4859 2.7990 -3.8943 -2.9800 3.5197 2.5398 5.3369" Properties=species:S:1:pos:R:3 pbc="T T T"
Na 3.6367 -1.6147 3.6144
Cs -0.0479 -0.6406 4.2289
Sb 3.3013 1.4806 4.6016
K -0.9728 -3.5570 1.8184
```

The uncorrected formation energy comes out at -0.3917 eV per atom. For the relative energy among the computed polymorphs, the calculation gives 0.0 meV/atom. Its size of the total moment is 0.0000 μB per atom.

***

[4]
CsKNa2Sb | PBE | relaxed

The structure in extended XYZ format:
```
5
Lattice="-2.1785 -5.2888 2.3434 5.4868 -1.0959 2.6275 -2.0354 3.3386 5.6428" Properties=species:S:1:pos:R:3 pbc="T T T"
Na -1.0893 -2.6444 1.1717
Na 2.7434 -0.5479 1.3137
K -1.0177 1.6693 2.8214
Sb 0.0000 0.0000 0.0000
Cs 0.6364 -1.5231 5.3068
```

The uncorrected formation energy comes out at -0.2152 eV per atom. For the relative energy among the computed polymorphs, the calculation gives 0.0 meV/atom. Its size of the total moment is 0.0000 μB per atom.

***

[5]
CsKNa2Se | PBE | relaxed

The structure in extended XYZ format:
```
5
Lattice="5.9265 0.0000 0.0000 0.0000 5.9265 0.0000 0.0000 0.0000 7.0758" Properties=species:S:1:pos:R:3 pbc="T T T"
Na 2.9633 0.0000 0.0000
Na 0.0000 2.9633 0.0000
Se 0.0000 0.0000 0.0000
K 2.9633 2.9633 3.5379
Cs 0.0000 0.0000 3.5379
```

The uncorrected formation energy comes out at -0.4596 eV per atom. Its size of the total moment is 0.0000 μB per atom.

***

[6]
Cs2KNaSe2 | PBE | relaxed

The structure in extended XYZ format:
```
12
Lattice="-7.0039 2.1717 1.6254 -1.8605 -0.7533 -7.0104 2.3016 -8.6416 4.1104" Properties=species:S:1:pos:R:3 pbc="T T T"
K -1.3954 -0.5650 -5.2578
K -0.4651 -0.1883 -1.7526
Na -3.9671 0.8975 -0.9399
Na -4.8973 0.5209 -4.4451
Cs -2.6066 -2.2334 0.9318
Cs 0.2731 -5.6361 0.5332
Cs -3.9562 -4.9898 -2.2064
Cs -6.8359 -1.5871 -1.8078
Se -1.0366 -7.1373 -2.7504
Se -3.3002 -1.4412 -2.7618
Se -3.2625 -5.7820 1.4872
Se -5.5262 -0.0858 1.4758
```

The uncorrected formation energy comes out at -1.0874 eV per atom. Its size of the total moment is 0.0000 μB per atom.

***

[7]
CsKNa2Se | PBE | relaxed

The structure in extended XYZ format:
```
5
Lattice="-5.8658 1.1084 -0.7724 -0.9621 -1.0117 5.8552 1.0318 6.3419 1.2653" Properties=species:S:1:pos:R:3 pbc="T T T"
Se 0.0000 0.0000 0.0000
Na -0.4811 -0.5058 2.9276
Na -2.9329 0.5542 -0.3862
K 0.5159 3.1710 0.6326
Cs -2.8981 3.2193 3.1741
```

The uncorrected formation energy comes out at -0.4587 eV per atom. Its size of the total moment is 0.0000 μB per atom.

***

[8]
CsKNaSr | PBE | relaxed

The structure in extended XYZ format:
```
4
Lattice="-1.1616 0.9977 6.9923 -6.0295 -2.4167 3.0070 0.2239 -5.5660 4.4952" Properties=species:S:1:pos:R:3 pbc="T T T"
Sr -5.2253 -5.2387 10.8709
K -3.4835 -3.4925 7.2473
Na 0.0000 0.0000 0.0000
Cs -1.7418 -1.7462 3.6236
```

Its size of the total moment is 0.0000 μB per atom. Its energy relative to the elements is 115 meV per atom.

***

[9]
CsK2NaSr | PBE | relaxed

The structure in extended XYZ format:
```
5
Lattice="7.1718 0.0000 0.0000 0.0000 7.1718 0.0000 0.0000 0.0000 7.3067" Properties=species:S:1:pos:R:3 pbc="T T T"
Na 0.0000 0.0000 0.0000
Sr 0.0000 0.0000 3.6533
K 0.0000 3.5859 0.0000
K 3.5859 0.0000 0.0000
Cs 3.5859 3.5859 3.6533
```

Its size of the total moment is 0.0000 μB per atom. Its energy relative to the elements is 162 meV per atom.

***

[10]
CsKNa2Te | PBE | relaxed

The structure in extended XYZ format:
```
5
Lattice="6.2118 0.0000 0.0000 0.0000 6.2118 0.0000 0.0000 0.0000 7.4606" Properties=species:S:1:pos:R:3 pbc="T T T"
Na 3.1059 0.0000 0.0000
Na 0.0000 3.1059 0.0000
Te 0.0000 0.0000 0.0000
Cs 0.0000 0.0000 3.7303
K 3.1059 3.1059 3.7303
```

The uncorrected formation energy comes out at -0.4043 eV per atom. For the relative energy among the computed polymorphs, the calculation gives 3.1 meV/atom. Its size of the total moment is 0.0000 μB per atom.

***

[11]
CsKNa2Te2 | PBE | relaxed

The structure in extended XYZ format:
```
6
Lattice="5.4212 0.0000 0.0000 -2.7106 4.6949 0.0000 0.0000 0.0000 9.0764" Properties=species:S:1:pos:R:3 pbc="T T T"
Te 2.7106 1.5650 6.4581
Te 0.0000 3.1299 2.6183
Cs 0.0000 0.0000 0.0000
Na 0.0000 3.1299 6.0115
Na 2.7106 1.5650 3.0650
K 0.0000 0.0000 4.5382
```

The uncorrected formation energy comes out at -0.9907 eV per atom. Its size of the total moment is 0.0000 μB per atom.

***

[12]
CsK2NaTe | PBE | relaxed

The structure in extended XYZ format:
```
5
Lattice="6.7522 0.0000 0.0000 0.0000 6.7522 0.0000 0.0000 0.0000 7.4577" Properties=species:S:1:pos:R:3 pbc="T T T"
K 3.3761 0.0000 0.0000
K 0.0000 3.3761 0.0000
Na 3.3761 3.3761 3.7289
Te 0.0000 0.0000 0.0000
Cs 0.0000 0.0000 3.7289
```

The uncorrected formation energy comes out at -0.5086 eV per atom. For the relative energy among the computed polymorphs, the calculation gives 0.0 meV/atom. Its size of the total moment is 0.0000 μB per atom.